Entry 1:
# MgRu2Br (PBE-GGA, relaxed)
data_MgRu2Br
_chemical_formula_sum 'Mg1 Ru2 Br1'
_cell_length_a 3.0261
_cell_length_b 3.0537
_cell_length_c 7.7519
_cell_angle_alpha 79.05
_cell_angle_beta 90.00
_cell_angle_gamma 90.00
_space_group_name_H-M_alt 'P 1'
_space_group_IT_number 1
loop_
_space_group_symop_operation_xyz
'x,y,z'
loop_
_atom_site_label
_atom_site_type_symbol
_atom_site_fract_x
_atom_site_fract_y
_atom_site_fract_z
Br1 Br 0.0000 0.3193 0.4966
Mg1 Mg 0.5000 0.6687 0.7783
Ru1 Ru 0.0000 0.0518 0.0175
Ru2 Ru 0.5000 0.4602 0.2076
# Raw formation energy = 0.115 eV per atom
# D(E_F) = 4.0 states/eV/cell
# Energy = -0.196 Ha/atom

Entry 2:
# Ce3HfSn5 (PBE-GGA, relaxed)
data_Ce3HfSn5
_chemical_formula_sum 'Ce6 Hf2 Sn10'
_cell_length_a 6.2791
_cell_length_b 9.3470
_cell_length_c 9.3470
_cell_angle_alpha 120.00
_cell_angle_beta 90.00
_cell_angle_gamma 90.00
_space_group_name_H-M_alt 'P 1'
_space_group_IT_number 1
loop_
_space_group_symop_operation_xyz
'x,y,z'
loop_
_atom_site_label
_atom_site_type_symbol
_atom_site_fract_x
_atom_site_fract_y
_atom_site_fract_z
Ce1 Ce 0.7500 0.3832 0.0000
Ce2 Ce 0.7500 0.6168 0.6168
Ce3 Ce 0.7500 0.0000 0.3832
Ce4 Ce 0.2500 0.6168 0.0000
Ce5 Ce 0.2500 0.3832 0.3832
Ce6 Ce 0.2500 0.0000 0.6168
Hf1 Hf 0.0000 0.0000 0.0000
Hf2 Hf 0.5000 0.0000 0.0000
Sn1 Sn 0.0000 0.3333 0.6667
Sn2 Sn 0.5000 0.6667 0.3333
Sn3 Sn 0.0000 0.6667 0.3333
Sn4 Sn 0.5000 0.3333 0.6667
Sn5 Sn 0.7500 0.7297 0.0000
Sn6 Sn 0.7500 0.2703 0.2703
Sn7 Sn 0.7500 0.0000 0.7297
Sn8 Sn 0.2500 0.2703 0.0000
Sn9 Sn 0.2500 0.7297 0.7297
Sn10 Sn 0.2500 0.0000 0.2703
# Formation enthalpy at 0 K = -0.605 eV/atom
# D(E_F) = 24.3 states/eV/cell
# Energy = -0.217 Ha/atom

Entry 3:
# LuThFe (PBE-GGA, relaxed)
data_LuThFe
_chemical_formula_sum 'Lu1 Th1 Fe1'
_cell_length_a 4.6959
_cell_length_b 4.6959
_cell_length_c 4.6959
_cell_angle_alpha 60.00
_cell_angle_beta 60.00
_cell_angle_gamma 60.00
_space_group_name_H-M_alt 'P 1'
_space_group_IT_number 1
loop_
_space_group_symop_operation_xyz
'x,y,z'
loop_
_atom_site_label
_atom_site_type_symbol
_atom_site_fract_x
_atom_site_fract_y
_atom_site_fract_z
Lu1 Lu 0.5000 0.5000 0.5000
Fe1 Fe 0.2500 0.2500 0.2500
Th1 Th 0.0000 0.0000 0.0000
# Formation enthalpy at 0 K = 0.091 eV/atom
# D(E_F) = 3.5 states/eV/cell
# Energy = -0.247 Ha/atom

Entry 4:
# SrLaZrW2 (PBE-GGA, relaxed)
data_SrLaZrW2
_chemical_formula_sum 'Sr1 La1 Zr1 W2'
_cell_length_a 4.9738
_cell_length_b 5.3566
_cell_length_c 4.9738
_cell_angle_alpha 90.00
_cell_angle_beta 90.00
_cell_angle_gamma 90.00
_space_group_name_H-M_alt 'P 1'
_space_group_IT_number 1
loop_
_space_group_symop_operation_xyz
'x,y,z'
loop_
_atom_site_label
_atom_site_type_symbol
_atom_site_fract_x
_atom_site_fract_y
_atom_site_fract_z
Sr1 Sr 0.0000 0.5000 0.0000
Zr1 Zr 0.5000 0.5000 0.5000
W1 W 0.0000 0.0000 0.5000
W2 W 0.5000 0.0000 0.0000
La1 La 0.0000 0.0000 0.0000
# Formation enthalpy at 0 K = 2.094 eV/atom
# D(E_F) = 7.1 states/eV/cell
# Energy = -0.225 Ha/atom

Entry 5:
# Pr3Ho3Tl (PBE-GGA, relaxed)
data_Pr3Ho3Tl
_chemical_formula_sum 'Pr6 Ho6 Tl2'
_cell_length_a 5.6341
_cell_length_b 9.5878
_cell_length_c 9.5871
_cell_angle_alpha 120.01
_cell_angle_beta 90.00
_cell_angle_gamma 90.00
_space_group_name_H-M_alt 'P 1'
_space_group_IT_number 1
loop_
_space_group_symop_operation_xyz
'x,y,z'
loop_
_atom_site_label
_atom_site_type_symbol
_atom_site_fract_x
_atom_site_fract_y
_atom_site_fract_z
Pr1 Pr 0.2500 0.5268 0.6334
Pr2 Pr 0.2500 0.1063 0.4730
Pr3 Pr 0.2500 0.3665 0.8936
Pr4 Pr 0.7500 0.4732 0.3666
Pr5 Pr 0.7500 0.8937 0.5270
Pr6 Pr 0.7500 0.6335 0.1064
Ho1 Ho 0.7500 0.7665 0.8243
Ho2 Ho 0.7500 0.0580 0.2336
Ho3 Ho 0.7500 0.1756 0.9422
Ho4 Ho 0.2500 0.2335 0.1757
Ho5 Ho 0.2500 0.9420 0.7664
Ho6 Ho 0.2500 0.8244 0.0578
Tl1 Tl 0.7500 0.3334 0.6668
Tl2 Tl 0.2500 0.6666 0.3332
# Formation enthalpy at 0 K = -0.073 eV/atom
# D(E_F) = 19.3 states/eV/cell
# Energy = -0.162 Ha/atom

Entry 6:
# CrHgW2 (PBE-GGA, relaxed)
data_CrHgW2
_chemical_formula_sum 'Cr1 Hg1 W2'
_cell_length_a 4.1570
_cell_length_b 2.7987
_cell_length_c 5.9221
_cell_angle_alpha 70.49
_cell_angle_beta 90.00
_cell_angle_gamma 90.00
_space_group_name_H-M_alt 'P 1'
_space_group_IT_number 1
loop_
_space_group_symop_operation_xyz
'x,y,z'
loop_
_atom_site_label
_atom_site_type_symbol
_atom_site_fract_x
_atom_site_fract_y
_atom_site_fract_z
Cr1 Cr 0.5000 0.2500 0.2500
Hg1 Hg 0.5000 0.7500 0.7500
W1 W 0.0000 0.0419 0.0348
W2 W 0.0000 0.4581 0.4652
# Formation enthalpy at 0 K = 0.582 eV/atom
# D(E_F) = 2.8 states/eV/cell
# Energy = -0.308 Ha/atom

Entry 7:
# NaPmZnBi (PBE-GGA, relaxed)
data_NaPmZnBi
_chemical_formula_sum 'Na1 Pm1 Zn1 Bi1'
_cell_length_a 5.3559
_cell_length_b 5.3559
_cell_length_c 5.3559
_cell_angle_alpha 60.00
_cell_angle_beta 60.00
_cell_angle_gamma 60.00
_space_group_name_H-M_alt 'P 1'
_space_group_IT_number 1
loop_
_space_group_symop_operation_xyz
'x,y,z'
loop_
_atom_site_label
_atom_site_type_symbol
_atom_site_fract_x
_atom_site_fract_y
_atom_site_fract_z
Na1 Na 0.2500 0.2500 0.2500
Zn1 Zn 0.0000 0.0000 0.0000
Bi1 Bi 0.5000 0.5000 0.5000
Pm1 Pm 0.7500 0.7500 0.7500
# Formation enthalpy at 0 K = -0.294 eV/atom
# D(E_F) = 3.4 states/eV/cell
# Energy = -0.114 Ha/atom

Entry 8:
# Cs2ScI6Br (PBE-GGA, relaxed)
data_Cs2ScI6Br
_chemical_formula_sum 'Cs2 Sc1 I6 Br1'
_cell_length_a 9.3341
_cell_length_b 9.3341
_cell_length_c 8.7940
_cell_angle_alpha 57.95
_cell_angle_beta 57.95
_cell_angle_gamma 90.00
_space_group_name_H-M_alt 'P 1'
_space_group_IT_number 1
loop_
_space_group_symop_operation_xyz
'x,y,z'
loop_
_atom_site_label
_atom_site_type_symbol
_atom_site_fract_x
_atom_site_fract_y
_atom_site_fract_z
Cs1 Cs 0.7500 0.2500 0.5000
Cs2 Cs 0.2500 0.7500 0.5000
I1 I 0.2350 0.2350 0.5301
I2 I 0.7650 0.7650 0.4699
I3 I 0.2853 0.2853 0.0000
I4 I 0.7147 0.7147 0.0000
I5 I 0.7147 0.2853 0.0000
I6 I 0.2853 0.7147 0.0000
Sc1 Sc 0.5000 0.5000 0.0000
Br1 Br 0.0000 0.0000 0.0000
# Raw formation energy = -1.039 eV per atom
# D(E_F) = 0.0 states/eV/cell
# Energy = -0.108 Ha/atom

Entry 9:
# ZrNiP4 (PBE-GGA, relaxed)
data_ZrNiP4
_chemical_formula_sum 'Zr1 Ni1 P4'
_cell_length_a 4.9936
_cell_length_b 4.9936
_cell_length_c 4.9936
_cell_angle_alpha 60.00
_cell_angle_beta 60.00
_cell_angle_gamma 60.00
_space_group_name_H-M_alt 'P 1'
_space_group_IT_number 1
loop_
_space_group_symop_operation_xyz
'x,y,z'
loop_
_atom_site_label
_atom_site_type_symbol
_atom_site_fract_x
_atom_site_fract_y
_atom_site_fract_z
Zr1 Zr 0.7500 0.7500 0.7500
Ni1 Ni 0.0000 0.0000 0.0000
P1 P 0.8817 0.3728 0.3728
P2 P 0.3728 0.3728 0.8817
P3 P 0.3728 0.8817 0.3728
P4 P 0.3728 0.3728 0.3728
# Formation enthalpy at 0 K = 0.195 eV/atom
# D(E_F) = 3.9 states/eV/cell
# Energy = -0.213 Ha/atom

Entry 10:
# LiBe2H6 (PBE-GGA, relaxed)
data_LiBe2H6
_chemical_formula_sum 'Li1 Be2 H6'
_cell_length_a 3.9997
_cell_length_b 3.9997
_cell_length_c 3.9997
_cell_angle_alpha 60.00
_cell_angle_beta 60.00
_cell_angle_gamma 60.00
_space_group_name_H-M_alt 'P 1'
_space_group_IT_number 1
loop_
_space_group_symop_operation_xyz
'x,y,z'
loop_
_atom_site_label
_atom_site_type_symbol
_atom_site_fract_x
_atom_site_fract_y
_atom_site_fract_z
Li1 Li 0.0000 0.0000 0.0000
Be1 Be 0.7500 0.7500 0.7500
Be2 Be 0.2500 0.2500 0.2500
H1 H 0.2802 0.7198 0.7198
H2 H 0.7198 0.7198 0.2802
H3 H 0.7198 0.2802 0.7198
H4 H 0.7198 0.2802 0.2802
H5 H 0.2802 0.2802 0.7198
H6 H 0.2802 0.7198 0.2802
# D(E_F) = 0.4 states/eV/cell
# Energy = -0.096 Ha/atom